The following is a DFT calculation (PBE+U) of a relaxed structure of Hg5MoO8.

a b c (Å): 7.1584 7.1584 7.1584
angles (deg): 105.19 105.19 118.42
Fractional coordinates of all 14 atoms:
Hg1 0.0000 0.0000 0.0000
Hg2 0.0631 0.9281 0.4941
Hg3 0.0719 0.5659 0.1350
Hg4 0.4309 0.9369 0.8650
Hg5 0.4341 0.5691 0.5059
Mo1 0.7500 0.2500 0.5000
O1 0.2432 0.0852 0.8309
O2 0.2542 0.4122 0.1691
O3 0.4625 0.0224 0.2672
O4 0.5878 0.7568 0.8420
O5 0.7552 0.1953 0.7328
O6 0.8047 0.5375 0.5599
O7 0.9148 0.7458 0.1580
O8 0.9776 0.2448 0.4401

Results
Electronic total energy in eV/cell: -56.7
SG: I-4